The following is a PBE calculation of Cs2MnSb after structural relaxation, from the Alexandria database.

abc: 9.014 9.014 9.014
angles: 90.00 90.00 90.00
Space group Fm-3m (No. 225)
Symmetry-distinct sites (fractional):
Cs (0.250, 0.250, 0.250) (multiplicity 8)
Mn (0.000, 0.000, 0.000) (multiplicity 4)
Sb (0.000, 0.000, 0.500) (multiplicity 4)

Output
Final energy, eV per cell: -51.40
D(E_F), states/eV per atom: 1.142